DFT (PBEsol) results for crystalline LaOsCl2 at its relaxed geometry.

The space group is P4/mmm (No. 123) and the conventional cell measures 4.3364, 4.3364 and 3.9704 Å, with angles of 90.00, 90.00 and 90.00 degrees. The asymmetric unit holds La at (0.0000, 0.0000, 0.0000), Os at (0.5000, 0.5000, 0.0000) and Cl at (0.0000, 0.5000, 0.5000).

The value obtained for the mass density is 8.9 g/cm3. The offset from the most stable computed form comes out at 422.3 meV per atom. The value obtained for the uncorrected formation energy is -0.20 eV/atom. As for the magnetic moment: 0.000 μB/atom.